# 1
# PBE-GGA GaSbNO2, optimized geometry
data_GaSbNO2
_chemical_formula_sum 'Ga1 Sb1 N1 O2'
_symmetry_space_group_name_H-M 'P 4/m m m'
_symmetry_Int_Tables_number 123
_symmetry_space_group_name_Hall '-P 4 2'
_cell_length_a 3.921
_cell_length_b 3.921
_cell_length_c 4.217
_cell_angle_alpha 90.00
_cell_angle_beta 90.00
_cell_angle_gamma 90.00
loop_
_atom_site_label
_atom_site_type_symbol
_atom_site_fract_x
_atom_site_fract_y
_atom_site_fract_z
Ga1 Ga 0.000 0.000 0.000
Sb1 Sb 0.500 0.500 0.500
N1 N 0.500 0.500 0.000
O1 O 0.000 0.500 0.500
# Formation energy from raw total energies in eV per atom: -0.1869
# Crystal system: tetragonal

# 2
# PBE-GGA Ac8Pr4Nd, optimized geometry
data_Ac8Pr4Nd
_chemical_formula_sum 'Ac16 Pr8 Nd2'
_symmetry_space_group_name_H-M 'C 1 m 1'
_symmetry_Int_Tables_number 8
_cell_length_a 12.245
_cell_length_b 5.529
_cell_length_c 15.967
_cell_angle_alpha 90.00
_cell_angle_beta 94.22
_cell_angle_gamma 90.00
loop_
_symmetry_equiv_pos_as_xyz
'x,y,z'
'x,-y,z'
'x+1/2,y+1/2,z'
'x+1/2,-y+1/2,z'
loop_
_atom_site_label
_atom_site_type_symbol
_atom_site_fract_x
_atom_site_fract_y
_atom_site_fract_z
Ac1 Ac 0.000 0.000 0.000
Ac2 Ac 0.033 0.500 0.381
Ac3 Ac 0.074 0.000 0.765
Ac4 Ac 0.190 0.500 0.919
Ac5 Ac 0.225 0.000 0.305
Ac6 Ac 0.308 0.000 0.076
Ac7 Ac 0.342 0.500 0.462
Ac8 Ac 0.458 0.000 0.615
Pr1 Pr 0.115 0.500 0.153
Pr2 Pr 0.152 0.000 0.538
Pr3 Pr 0.381 0.000 0.843
Pr4 Pr 0.418 0.500 0.228
Nd1 Nd 0.266 0.500 0.690
# Crystal system: monoclinic
# Energy of formation from the pure elements in eV/atom: 0.03

# 3
# PBE-GGA NdGdCdPd, optimized geometry
data_NdGdCdPd
_chemical_formula_sum 'Nd4 Gd4 Cd4 Pd4'
_symmetry_space_group_name_H-M 'F -4 3 m'
_symmetry_Int_Tables_number 216
_symmetry_space_group_name_Hall 'F -4 2 3'
_cell_length_a 7.400
_cell_length_b 7.400
_cell_length_c 7.400
_cell_angle_alpha 90.00
_cell_angle_beta 90.00
_cell_angle_gamma 90.00
loop_
_atom_site_label
_atom_site_type_symbol
_atom_site_fract_x
_atom_site_fract_y
_atom_site_fract_z
Nd1 Nd 0.000 0.000 0.000
Gd1 Gd 0.000 0.000 0.500
Cd1 Cd 0.250 0.250 0.750
Pd1 Pd 0.250 0.250 0.250
# Crystal system: cubic
# Energy of formation from the pure elements in eV/atom: -0.50

# 4
# PBE-GGA TbSm2Rh9, optimized geometry
data_TbSm2Rh9
_chemical_formula_sum 'Tb3 Sm6 Rh27'
_symmetry_space_group_name_H-M 'R -3 m'
_symmetry_Int_Tables_number 166
_symmetry_space_group_name_Hall '-R 3 2"'
_cell_length_a 5.2825
_cell_length_b 5.2825
_cell_length_c 26.5326
_cell_angle_alpha 90.00
_cell_angle_beta 90.00
_cell_angle_gamma 120.00
loop_
_atom_site_label
_atom_site_type_symbol
_atom_site_fract_x
_atom_site_fract_y
_atom_site_fract_z
Tb1 Tb 0.0000 0.0000 0.0000
Sm1 Sm 0.0000 0.0000 0.1387
Rh1 Rh 0.0000 0.0000 0.3329
Rh2 Rh 0.0000 0.0000 0.5000
Rh3 Rh 0.0005 0.5002 0.0817
# Crystal system: trigonal
# Energy of formation from the pure elements in eV/atom: -0.54